K2Pu3Cl8: optimized geometry, PBE-GGA.

Calculated values
spin magnetization = 18.00 μB/f.u.
formation energy from raw total energies = -1824 meV/atom
theoretical density = 4.19 Mg/m³

Lattice parameters (Å, degrees): 6.9730 8.8713 8.8713 55.78 74.96 74.96
Last column: magnetic moment on the atom in μB.
Sites, in units of the cell vectors:
K (0.3376, 0.7325, 0.7325)  0.00
K (0.6624, 0.2675, 0.2675)  0.00
Pu (0.5000, 0.0000, 0.0000)  5.73
Pu (0.0000, 0.7521, 0.2479)  5.71
Pu (0.0000, 0.2479, 0.7521)  5.71
Cl (0.9400, 0.3911, 0.3911)  -0.03
Cl (0.0600, 0.6089, 0.6089)  -0.03
Cl (0.9057, 0.8914, 0.8914)  -0.04
Cl (0.0943, 0.1086, 0.1086)  -0.04
Cl (0.6005, 0.3429, 0.8821)  -0.03
Cl (0.6005, 0.8821, 0.3429)  -0.03
Cl (0.3995, 0.1179, 0.6571)  -0.03
Cl (0.3995, 0.6571, 0.1179)  -0.03